A plane-wave DFT calculation with PBE was carried out for an optimized crystal structure of NdMg2Ga.

Unit cell a=4.6345 b=5.9701 c=7.4778 alpha=90.00 beta=90.00 gamma=112.81
Closest atoms and distances in Å follow each position.
Element x y z (fractional)
Nd: 0.9227 0.8459 0.2500  3 Ga 3.15-3.30, 6 Mg 3.31-3.47
Nd: 0.0773 0.1541 0.7500  3 Ga 3.15-3.30, 6 Mg 3.31-3.47
Mg: 0.3627 0.7263 0.5543  3 Ga 2.84-2.86, 2 Mg 2.93-3.12
Mg: 0.6373 0.2737 0.4457  3 Ga 2.84-2.86, 2 Mg 2.93-3.12
Mg: 0.3627 0.7263 0.9457  3 Ga 2.84-2.86, 2 Mg 2.93-3.12
Mg: 0.6373 0.2737 0.0543  3 Ga 2.84-2.86, 2 Mg 2.93-3.12
Ga: 0.7912 0.5820 0.7500  6 Mg 2.84-2.86, 1 Nd 3.15
Ga: 0.2088 0.4180 0.2500  6 Mg 2.84-2.86, 1 Nd 3.15

Values from the calculation:
Calculated density, Mg/m³: 4.57
Formation energy from the elements, meV per atom: -315
Crystal system: orthorhombic

A plane-wave DFT calculation with PBE was carried out for an optimized crystal structure of Nd2MgGa5.

Unit cell a=6.2073 b=6.2073 c=6.2073 alpha=92.23 beta=118.72 gamma=118.72
Closest atoms and distances in Å follow each position.
Element x y z (fractional)
Nd: 0.5000 0.2748 0.7748  10 Ga 3.11-3.17, 2 Mg 3.19
Nd: 0.5000 0.7748 0.2748  10 Ga 3.11-3.17, 2 Mg 3.19
Mg: 0.0000 0.8235 0.8235  8 Ga 3.02-3.25, 4 Nd 3.19
Ga: 0.4470 0.7487 0.7487  4 Ga 2.83-3.13, 1 Mg 3.02, 4 Nd 3.11
Ga: 0.0000 0.7487 0.3017  4 Ga 2.83-3.13, 1 Mg 3.02, 4 Nd 3.11
Ga: 0.0000 0.3017 0.7487  4 Ga 2.83-3.13, 1 Mg 3.02, 4 Nd 3.11
Ga: 0.5530 0.3017 0.3017  4 Ga 2.83-3.13, 1 Mg 3.02, 4 Nd 3.11
Ga: 0.0000 0.2483 0.2483  8 Ga 3.11-3.13, 4 Nd 3.17

Values from the calculation:
Calculated density, Mg/m³: 6.38
Formation energy from the elements, meV per atom: -470
Crystal system: tetragonal

A plane-wave DFT calculation with PBE was carried out for an optimized crystal structure of NdMg2Ga.

Unit cell a=3.7316 b=4.8222 c=10.9762 alpha=90.00 beta=99.79 gamma=90.00
Closest atoms and distances in Å follow each position.
Element x y z (fractional)
Nd: 0.3905 0.2500 0.7809  4 Ga 3.24, 8 Mg 3.42-3.61
Nd: 0.6095 0.7500 0.2191  4 Ga 3.24, 8 Mg 3.42-3.61
Mg: 0.7582 0.2500 0.5164  4 Ga 2.82-2.99, 4 Mg 3.07
Mg: 0.2418 0.7500 0.4836  4 Ga 2.82-2.99, 4 Mg 3.07
Mg: 0.0335 0.2500 0.0670  1 Ga 2.75, 2 Mg 2.81
Mg: 0.9665 0.7500 0.9330  1 Ga 2.75, 2 Mg 2.81
Ga: 0.1604 0.2500 0.3208  5 Mg 2.75-2.99
Ga: 0.8396 0.7500 0.6792  5 Mg 2.75-2.99

Values from the calculation:
Calculated density, Mg/m³: 4.48
Formation energy from the elements, meV per atom: -285
Crystal system: orthorhombic

A plane-wave DFT calculation with PBE was carried out for an optimized crystal structure of Nd3MgGa.

Unit cell a=6.8053 b=8.0157 c=10.9779 alpha=74.83 beta=90.00 gamma=90.00
Closest atoms and distances in Å follow each position.
Element x y z (fractional)
Nd: 0.0335 0.8015 0.2709  2 Ga 3.14-3.45, 1 Mg 3.36, 3 Nd 3.49-3.50
Nd: 0.9665 0.1985 0.7291  2 Ga 3.14-3.45, 1 Mg 3.36, 3 Nd 3.49-3.50
Nd: 0.5335 0.1985 0.2291  2 Ga 3.14-3.45, 1 Mg 3.36, 3 Nd 3.49-3.50
Nd: 0.4665 0.8015 0.7709  2 Ga 3.14-3.45, 1 Mg 3.36, 3 Nd 3.49-3.50
Nd: 0.5373 0.7429 0.3570  2 Ga 3.05-3.12, 1 Mg 3.30
Nd: 0.4627 0.2571 0.6430  2 Ga 3.05-3.12, 1 Mg 3.30
Nd: 0.0373 0.2571 0.1430  2 Ga 3.05-3.12, 1 Mg 3.30
Nd: 0.9627 0.7429 0.8570  2 Ga 3.05-3.12, 1 Mg 3.30
Nd: 0.1563 0.6194 0.5863  3 Ga 3.09-3.28, 1 Mg 3.36
Nd: 0.8437 0.3806 0.4137  3 Ga 3.09-3.28, 1 Mg 3.36
Nd: 0.6563 0.3806 0.9137  3 Ga 3.09-3.28, 1 Mg 3.36
Nd: 0.3437 0.6194 0.0863  3 Ga 3.09-3.28, 1 Mg 3.36
Mg: 0.2202 0.0468 0.4693  1 Ga 2.94, 1 Mg 3.12
Mg: 0.7798 0.9532 0.5307  1 Ga 2.94, 1 Mg 3.12
Mg: 0.7202 0.9532 0.0307  1 Ga 2.94, 1 Mg 3.12
Mg: 0.2798 0.0468 0.9693  1 Ga 2.94, 1 Mg 3.12
Ga: 0.7920 0.5802 0.1259  1 Mg 2.94, 6 Nd 3.05-3.28
Ga: 0.2080 0.4198 0.8741  1 Mg 2.94, 6 Nd 3.05-3.28
Ga: 0.2920 0.4198 0.3741  1 Mg 2.94, 6 Nd 3.05-3.28
Ga: 0.7080 0.5802 0.6259  1 Mg 2.94, 6 Nd 3.05-3.28

Values from the calculation:
Calculated density, Mg/m³: 6.05
Formation energy from the elements, meV per atom: -209
Crystal system: monoclinic

A plane-wave DFT calculation with PBE was carried out for an optimized crystal structure of NdMg2Ga6.

Unit cell a=4.1652 b=7.1944 c=7.4868 alpha=118.72 beta=106.15 gamma=90.00
Closest atoms and distances in Å follow each position.
Element x y z (fractional)
Nd: 0.0000 0.5000 0.0000  12 Ga 3.11-3.45
Mg: 0.8829 0.8829 0.7657  6 Ga 2.74-2.85, 1 Mg 2.92
Mg: 0.1171 0.1171 0.2343  6 Ga 2.74-2.85, 1 Mg 2.92
Ga: 0.6921 0.8808 0.3841  4 Ga 2.58-2.72, 1 Mg 2.74
Ga: 0.3079 0.1192 0.6159  4 Ga 2.58-2.72, 1 Mg 2.74
Ga: 0.3079 0.4967 0.6159  4 Ga 2.58-2.72, 1 Mg 2.74
Ga: 0.5000 0.1784 0.0000  3 Ga 2.57-2.58, 4 Mg 2.85
Ga: 0.5000 0.8216 0.0000  3 Ga 2.57-2.58, 4 Mg 2.85
Ga: 0.6921 0.5033 0.3841  4 Ga 2.58-2.72, 1 Mg 2.74

Values from the calculation:
Calculated density, Mg/m³: 5.44
Formation energy from the elements, meV per atom: -256
Crystal system: orthorhombic

A plane-wave DFT calculation with PBE was carried out for an optimized crystal structure of NdMg5Ga3.

Unit cell a=3.5059 b=7.7550 c=15.1432 alpha=90.00 beta=90.00 gamma=103.06
Closest atoms and distances in Å follow each position.
Element x y z (fractional)
Nd: 0.8357 0.6714 0.7500  6 Ga 3.22-3.25, 2 Nd 3.51
Nd: 0.1643 0.3286 0.2500  6 Ga 3.22-3.25, 2 Nd 3.51
Mg: 0.8064 0.6127 0.4319  4 Ga 2.72-2.95
Mg: 0.1936 0.3873 0.9319  4 Ga 2.72-2.95
Mg: 0.0000 0.0000 0.5000  4 Ga 2.82, 6 Mg 2.99-3.10
Mg: 0.0000 0.0000 0.0000  4 Ga 2.82, 6 Mg 2.99-3.10
Mg: 0.4596 0.9191 0.1550  3 Ga 2.81-2.87, 3 Mg 2.88-2.99
Mg: 0.5404 0.0809 0.8450  3 Ga 2.81-2.87, 3 Mg 2.88-2.99
Mg: 0.5404 0.0809 0.6550  3 Ga 2.81-2.87, 3 Mg 2.88-2.99
Mg: 0.8064 0.6127 0.0681  4 Ga 2.72-2.95
Mg: 0.1936 0.3873 0.5681  4 Ga 2.72-2.95
Mg: 0.4596 0.9191 0.3450  3 Ga 2.81-2.87, 3 Mg 2.88-2.99
Ga: 0.3737 0.7475 0.9268  6 Mg 2.72-2.95
Ga: 0.8434 0.6867 0.2500  6 Mg 2.81-2.87
Ga: 0.3737 0.7475 0.5732  6 Mg 2.72-2.95
Ga: 0.6263 0.2525 0.4268  6 Mg 2.72-2.95
Ga: 0.1566 0.3133 0.7500  6 Mg 2.81-2.87
Ga: 0.6263 0.2525 0.0732  6 Mg 2.72-2.95

Values from the calculation:
Calculated density, Mg/m³: 3.93
Formation energy from the elements, meV per atom: -174
Crystal system: orthorhombic

A plane-wave DFT calculation with PBE was carried out for an optimized crystal structure of NdMgGa3.

Unit cell a=4.2376 b=4.2314 c=12.4001 alpha=99.82 beta=90.00 gamma=90.00
Closest atoms and distances in Å follow each position.
Element x y z (fractional)
Nd: 0.2500 0.0772 0.1544  12 Ga 3.23-3.35
Nd: 0.7500 0.9228 0.8456  12 Ga 3.23-3.35
Mg: 0.2500 0.7952 0.5904  7 Ga 2.73-3.04
Mg: 0.7500 0.2048 0.4096  7 Ga 2.73-3.04
Ga: 0.2500 0.3733 0.7466  3 Ga 2.48-2.53
Ga: 0.7500 0.6267 0.2534  3 Ga 2.48-2.53
Ga: 0.2500 0.4746 0.9493  3 Ga 2.45-2.48
Ga: 0.7500 0.5254 0.0507  3 Ga 2.45-2.48
Ga: 0.7500 0.3164 0.6328  2 Ga 2.53, 1 Mg 2.73
Ga: 0.2500 0.6836 0.3672  2 Ga 2.53, 1 Mg 2.73

Values from the calculation:
Calculated density, Mg/m³: 5.73
Formation energy from the elements, meV per atom: -472
Crystal system: orthorhombic

A plane-wave DFT calculation with PBE was carried out for an optimized crystal structure of NdMg5Ga2.

Unit cell a=4.3161 b=6.9244 c=6.9244 alpha=73.22 beta=71.84 gamma=71.84
Closest atoms and distances in Å follow each position.
Element x y z (fractional)
Nd: 0.0000 0.0000 0.0000  4 Ga 3.17
Mg: 0.0000 0.5000 0.5000  2 Ga 2.80, 8 Mg 3.07
Mg: 0.6549 0.5278 0.1625  3 Ga 2.72-2.90, 1 Mg 3.02
Mg: 0.3451 0.4722 0.8375  3 Ga 2.72-2.90, 1 Mg 3.02
Mg: 0.3451 0.8375 0.4722  3 Ga 2.72-2.90, 1 Mg 3.02
Mg: 0.6549 0.1625 0.5278  3 Ga 2.72-2.90, 1 Mg 3.02
Ga: 0.7262 0.7738 0.7738  7 Mg 2.72-2.90
Ga: 0.2738 0.2262 0.2262  7 Mg 2.72-2.90

Values from the calculation:
Calculated density, Mg/m³: 3.69
Formation energy from the elements, meV per atom: -235
Crystal system: orthorhombic

A plane-wave DFT calculation with PBE was carried out for an optimized crystal structure of Nd2Mg5Ga4.

Unit cell a=6.1198 b=6.4017 c=8.1356 alpha=79.64 beta=67.91 gamma=61.45
Closest atoms and distances in Å follow each position.
Element x y z (fractional)
Nd: 0.8552 0.0000 0.2896  6 Ga 3.32-3.36, 4 Mg 3.57
Nd: 0.1448 0.0000 0.7104  6 Ga 3.32-3.36, 4 Mg 3.57
Mg: 0.5000 0.0000 0.0000  4 Ga 2.59
Mg: 0.0000 0.5000 0.0000  4 Mg 3.06-3.20, 4 Ga 3.12
Mg: 0.5000 0.5000 0.0000  4 Mg 3.06-3.20, 4 Ga 3.12
Mg: 0.2500 0.5000 0.5000  4 Ga 2.64
Mg: 0.7500 0.5000 0.5000  4 Ga 2.64
Ga: 0.5352 0.2281 0.7015  1 Ga 2.57, 3 Mg 2.59-2.64
Ga: 0.4648 0.7719 0.2985  1 Ga 2.57, 3 Mg 2.59-2.64
Ga: 0.2367 0.2281 0.2985  1 Ga 2.57, 3 Mg 2.59-2.64
Ga: 0.7633 0.7719 0.7015  1 Ga 2.57, 3 Mg 2.59-2.64

Values from the calculation:
Calculated density, Mg/m³: 4.41
Formation energy from the elements, meV per atom: -234
Crystal system: orthorhombic

A plane-wave DFT calculation with PBE was carried out for an optimized crystal structure of NdMgGa4.

Unit cell a=5.5747 b=5.5747 c=5.5747 alpha=60.00 beta=60.00 gamma=60.00
Closest atoms and distances in Å follow each position.
Element x y z (fractional)
Mg: 0.2500 0.2500 0.2500  12 Ga 3.27, 4 Nd 3.41
Nd: 0.0000 0.0000 0.0000  12 Ga 3.27, 4 Mg 3.41
Ga: 0.6252 0.6252 0.1244  6 Ga 2.78-2.79
Ga: 0.6252 0.1244 0.6252  6 Ga 2.78-2.79
Ga: 0.6252 0.6252 0.6252  6 Ga 2.78-2.79
Ga: 0.1244 0.6252 0.6252  6 Ga 2.78-2.79

Values from the calculation:
Calculated density, Mg/m³: 6.06
Formation energy from the elements, meV per atom: -290
Crystal system: cubic

A plane-wave DFT calculation with PBE was carried out for an optimized crystal structure of Nd3Mg7Ga4.

Unit cell a=4.5264 b=8.7841 c=9.0501 alpha=72.27 beta=75.52 gamma=75.07
Closest atoms and distances in Å follow each position.
Element x y z (fractional)
Nd: 0.3022 0.1840 0.2115  4 Ga 3.25-3.26, 10 Mg 3.27-3.53
Nd: 0.6978 0.8160 0.7885  4 Ga 3.25-3.26, 10 Mg 3.27-3.53
Nd: 0.0000 0.5000 0.5000  6 Ga 3.28-3.37, 6 Mg 3.63-3.66
Mg: 0.3253 0.8345 0.5149  4 Ga 2.73-2.85, 1 Mg 2.93
Mg: 0.4893 0.2186 0.8028  3 Ga 2.76-2.89, 1 Mg 2.93
Mg: 0.8353 0.4004 0.9290  3 Ga 2.86-2.92, 2 Mg 3.10
Mg: 0.6747 0.1655 0.4851  4 Ga 2.73-2.85, 1 Mg 2.93
Mg: 0.1647 0.5996 0.0710  3 Ga 2.86-2.92, 2 Mg 3.10
Mg: 0.0000 0.0000 0.0000  2 Ga 2.84, 4 Mg 3.15
Mg: 0.5107 0.7814 0.1972  3 Ga 2.76-2.89, 1 Mg 2.93
Ga: 0.6529 0.4470 0.2472  5 Mg 2.74-2.92
Ga: 0.3471 0.5530 0.7528  5 Mg 2.74-2.92
Ga: 0.8798 0.9047 0.3357  6 Mg 2.73-2.89
Ga: 0.1202 0.0953 0.6643  6 Mg 2.73-2.89

Values from the calculation:
Calculated density, Mg/m³: 4.50
Formation energy from the elements, meV per atom: -353
Crystal system: monoclinic

A plane-wave DFT calculation with PBE was carried out for an optimized crystal structure of Nd3MgGa3.

Unit cell a=5.2949 b=9.1763 c=9.1763 alpha=120.00 beta=90.00 gamma=90.00
Closest atoms and distances in Å follow each position.
Element x y z (fractional)
Nd: 0.7500 0.7494 0.7348  4 Ga 3.00-3.13
Nd: 0.7500 0.2652 0.0146  4 Ga 3.00-3.13
Nd: 0.7500 0.9854 0.2506  4 Ga 3.00-3.13
Nd: 0.2500 0.2506 0.2652  4 Ga 3.00-3.13
Nd: 0.2500 0.7348 0.9854  4 Ga 3.00-3.13
Nd: 0.2500 0.0146 0.7494  4 Ga 3.00-3.13
Mg: 0.2500 0.6667 0.3333  3 Ga 2.85
Mg: 0.7500 0.3333 0.6667  3 Ga 2.85
Ga: 0.2500 0.5844 0.5944  1 Mg 2.85, 4 Nd 3.00-3.13, 2 Ga 3.12
Ga: 0.2500 0.4056 0.9899  1 Mg 2.85, 4 Nd 3.00-3.13, 2 Ga 3.12
Ga: 0.2500 0.0101 0.4156  1 Mg 2.85, 4 Nd 3.00-3.13, 2 Ga 3.12
Ga: 0.7500 0.4156 0.4056  1 Mg 2.85, 4 Nd 3.00-3.13, 2 Ga 3.12
Ga: 0.7500 0.5944 0.0101  1 Mg 2.85, 4 Nd 3.00-3.13, 2 Ga 3.12
Ga: 0.7500 0.9899 0.5844  1 Mg 2.85, 4 Nd 3.00-3.13, 2 Ga 3.12

Values from the calculation:
Calculated density, Mg/m³: 5.73
Formation energy from the elements, meV per atom: -210
Crystal system: hexagonal

> calculated density of number 8 (NdMg5Ga2)?

3.69 Mg/m³

> Which value of formation energy from the elements does entry 8 give?

-235 meV per atom

> Which formula does entry 8 have?

NdMg5Ga2

> The lowest formation energy from the elements belongs to which entry?

NdMgGa3